Arrangement i

## OsPb3O (PBE)

Data for OsPb3O after structural relaxation.

Lattice parameters (Å, degrees): 4.8294 4.8294 4.8294 90.00 90.00 90.00
With the nearest neighbours (Å) after each atom.
Fractional coordinates of all 5 atoms:
Pb  0.0000  0.0000  0.5000  2 O 2.41
Pb  0.5000  0.0000  0.0000  2 O 2.41
Pb  0.0000  0.5000  0.0000  2 O 2.41
Os  0.5000  0.5000  0.5000  12 Pb 3.41
O  0.0000  0.0000  0.0000  6 Pb 2.41

Calculated values
- Space group: No. 221


Arrangement ii

## OsPb3O (PBE)

Data for OsPb3O after structural relaxation.

Lattice parameters (Å, degrees): 5.2047 5.2047 5.2047 90.00 90.00 90.00
With the nearest neighbours (Å) after each atom.
Fractional coordinates of all 5 atoms:
O  0.5000  0.5000  0.5000  12 Pb 3.68
Pb  0.5000  0.0000  0.0000  2 Os 2.60
Pb  0.0000  0.0000  0.5000  2 Os 2.60
Pb  0.0000  0.5000  0.0000  2 Os 2.60
Os  0.0000  0.0000  0.0000  6 Pb 2.60

Calculated values
- Space group: No. 221


The data favor arrangement ii; the next most stable structure lies 37 meV per atom above it.